A relaxed Li4TlBiPd2 crystal. Source: the Open Quantum Materials Database, functional GGA-PBE.

Properties
VASP energy ... -3.496 eV/atom

abc: 4.582 4.582 6.453
angles: 90.00 90.00 90.00
Space group P-4m2 (No. 115)
Inequivalent atoms, fractional coordinates:
1 Li 0.000 0.000 0.000
2 Li 0.000 0.500 0.240
3 Li 0.500 0.500 0.500
4 Tl 0.500 0.500 0.000
5 Bi 0.000 0.000 0.500
6 Pd 0.000 0.500 0.750